Record 1
Li2AcScF8 | PBE | optimized geometry

The structure in POSCAR format:
```
Li2AcScF8
1.0
-2.211 -3.629 -3.454
3.789 -1.613 3.610
-5.086 -1.391 4.718
Li Ac Sc F
2 1 1 8
Cartesian
-1.867 -3.285 4.647
-1.641 -3.348 0.227
-2.543 -0.696 2.359
0.000 0.000 0.000
-3.255 -2.181 4.375
-1.229 -3.043 6.306
-2.411 -4.984 4.459
-1.097 -1.649 0.415
-2.927 -3.700 1.420
-0.581 -2.933 3.454
-0.253 -4.452 0.498
-2.280 -3.590 -1.432
```

Output
- calculated volume (Å³/atom) = 15.32
- raw total energy (eV per atom) = -5.983

***

Record 2
Li3Ac2ScF12 | PBE | optimized geometry

The structure in POSCAR format:
```
Li3Ac2ScF12
1.0
-5.802 -4.023 -0.763
1.081 -6.966 -0.853
-1.705 -4.154 5.502
Li Ac Sc F
3 2 1 12
Cartesian
-2.901 -2.011 -0.382
0.541 -3.483 -0.427
-0.852 -2.077 2.751
-4.230 -9.969 2.558
-2.195 -5.174 1.327
0.000 0.000 0.000
-3.527 -8.377 4.284
-4.976 -11.642 0.246
-2.444 -11.723 4.117
-5.499 -8.314 1.269
-6.697 -9.904 4.172
-2.186 -9.731 1.226
-2.899 -6.765 -0.399
-1.450 -3.501 3.639
-3.981 -3.420 -0.232
-0.927 -6.829 2.616
0.272 -5.239 -0.287
-4.240 -5.412 2.659
```

Output
- calculated volume (Å³/atom) = 15.20
- raw total energy (eV per atom) = -5.870

***

Record 3
Li2AcTiF8 | PBE | optimized geometry

The structure in POSCAR format:
```
Li2AcTiF8
1.0
-4.037 -0.453 1.541
0.566 -4.878 0.942
2.113 2.410 6.831
Li Ac Ti F
2 1 1 8
Cartesian
0.095 -0.508 6.695
-1.453 -2.413 2.619
1.056 1.205 3.416
0.000 0.000 0.000
0.232 -3.393 2.280
-0.230 -1.572 8.499
-2.724 -0.956 3.058
-1.590 0.472 7.034
-1.129 -1.349 0.815
1.366 -1.965 6.256
-0.945 -2.804 4.511
-0.413 -0.117 4.803
```

Output
- calculated volume (Å³/atom) = 13.54
- raw total energy (eV per atom) = -5.990

***

Record 4
Li2AcTlF8 | PBE | optimized geometry

The structure in POSCAR format:
```
Li2AcTlF8
1.0
-1.019 1.046 4.614
-4.837 0.042 0.133
-0.252 -7.760 1.952
Li Ac Tl F
2 1 1 8
Cartesian
-3.595 -1.150 3.321
-2.513 -5.523 3.378
-0.126 -3.880 0.976
0.000 0.000 0.000
-2.075 -5.111 5.133
-4.252 0.615 3.485
-4.153 -2.789 4.163
-1.955 -3.884 2.536
-1.856 -7.288 3.214
-4.205 -5.671 2.633
-1.903 -1.002 4.066
-4.033 -1.561 1.566
```

Output
- calculated volume (Å³/atom) = 15.16
- raw total energy (eV per atom) = -5.038

***

Record 5
LiAcTl2F6 | PBE | optimized geometry

The structure in POSCAR format:
```
LiAcTl2F6
1.0
-1.761 5.820 -2.339
-1.900 -2.692 -5.268
-8.100 -1.623 3.750
Li Ac Tl F
2 2 4 12
Cartesian
-4.930 2.099 0.705
-0.950 -1.346 -2.634
-0.880 2.910 -1.170
-5.000 -2.158 -0.759
-3.841 -2.908 -4.418
-7.842 0.507 -1.136
-7.919 4.413 0.560
-3.918 0.998 -2.721
-2.180 -0.689 -4.266
-7.158 1.341 -3.694
-9.580 2.194 0.408
-4.602 0.164 -0.164
-5.606 -1.177 -2.900
-10.523 0.940 -2.157
-6.153 2.683 -0.958
-1.237 0.565 -1.701
-4.514 3.702 -3.953
-8.620 -1.347 -3.508
-7.246 -2.197 0.095
-3.140 2.853 -0.350
```

Output
- calculated volume (Å³/atom) = 18.32
- raw total energy (eV per atom) = -5.069

***

Record 6
Li3Ac2TmF12 | PBE | optimized geometry

The structure in POSCAR format:
```
Li3Ac2TmF12
1.0
7.259 -0.182 -0.129
3.426 6.402 -0.129
3.426 1.994 6.085
Li Ac Tm F
3 2 1 12
Cartesian
3.629 -0.091 -0.065
1.713 3.201 -0.065
1.713 0.997 3.042
9.301 5.414 3.840
4.810 2.800 1.986
0.000 0.000 0.000
7.661 4.460 5.312
11.134 6.481 1.781
8.823 7.793 5.528
9.425 3.458 2.453
11.134 3.823 5.528
7.661 6.488 2.453
6.450 3.754 0.514
2.977 1.733 4.045
5.288 0.421 0.298
4.686 4.756 3.373
2.977 4.391 0.298
6.450 1.726 3.373
```

Output
- calculated volume (Å³/atom) = 16.14
- raw total energy (eV per atom) = -5.774

***

Record 7
Li3Ac2YF12 | PBE | optimized geometry

The structure in POSCAR format:
```
Li3Ac2YF12
1.0
-5.380 1.725 -4.414
0.313 -0.712 -7.127
-3.821 -4.814 -3.692
Li Ac Y F
3 2 1 12
Cartesian
-2.690 0.863 -2.207
0.156 -0.356 -3.563
-1.910 -2.407 -1.846
-5.381 -2.301 -9.222
-3.507 -1.500 -6.011
0.000 0.000 0.000
-4.560 -3.767 -6.184
-5.882 -1.174 -11.285
-5.224 -3.932 -10.981
-5.451 -0.031 -6.596
-7.625 -2.904 -9.836
-2.199 -1.424 -8.146
-4.328 -0.034 -9.049
-3.006 -2.627 -3.947
-3.664 0.131 -4.252
-3.437 -3.770 -8.637
-1.263 -0.897 -5.396
-6.689 -2.377 -7.087
```

Output
- calculated volume (Å³/atom) = 13.22
- raw total energy (eV per atom) = -5.977

***

Record 8
Li3Ac2ZnF12 | PBE | optimized geometry

The structure in POSCAR format:
```
Li3Ac2ZnF12
1.0
6.964 -0.199 -0.141
3.266 6.154 -0.141
3.266 1.901 5.855
Li Ac Zn F
3 2 1 12
Cartesian
3.482 -0.099 -0.071
1.633 3.077 -0.071
1.633 0.951 2.927
8.889 5.174 3.670
4.608 2.682 1.902
0.000 0.000 0.000
7.164 4.170 5.225
10.596 6.168 1.603
8.321 7.460 5.291
9.025 3.113 2.208
10.596 3.552 5.291
7.164 6.310 2.208
6.333 3.686 0.347
2.901 1.688 3.970
5.176 0.396 0.281
4.472 4.743 3.364
2.901 4.305 0.281
6.333 1.546 3.364
```

Output
- calculated volume (Å³/atom) = 14.37
- raw total energy (eV per atom) = -5.104

***

Record 9
Li2AcZrF8 | PBE | optimized geometry

The structure in POSCAR format:
```
Li2AcZrF8
1.0
-3.747 1.163 -3.136
0.681 -0.346 -4.964
-3.234 -6.416 -2.537
Li Ac Zr F
2 1 1 8
Cartesian
-1.529 -1.261 -2.662
-4.771 -4.338 -7.974
-3.150 -2.800 -5.318
0.000 0.000 0.000
-2.100 -2.988 -2.620
-2.739 -0.586 -3.857
-4.200 -2.611 -8.016
-3.567 -0.374 -6.389
-2.733 -5.225 -4.248
-1.076 -1.185 -5.862
-5.224 -4.414 -4.775
-3.561 -5.013 -6.780
```

Output
- calculated volume (Å³/atom) = 12.83
- raw total energy (eV per atom) = -5.977

***

Record 10
Ac2LuF | PBE | optimized geometry

The structure in POSCAR format:
```
Ac2LuF
1.0
-3.352 1.264 -0.780
-2.650 -0.148 2.529
0.891 10.265 4.189
Ac Lu F
2 1 1
Cartesian
-0.038 7.087 3.031
-5.072 4.294 2.907
0.000 0.000 0.000
-2.555 5.691 2.969
```

Output
- calculated volume (Å³/atom) = 31.77
- raw total energy (eV per atom) = -4.474

***

Record 11
Ac2MgF8 | PBE | optimized geometry

The structure in POSCAR format:
```
Ac2MgF8
1.0
-2.638 -1.137 3.137
-1.350 -4.309 -5.582
6.687 -0.467 2.571
Ac Mg F
2 1 8
Cartesian
1.531 -2.808 3.154
-1.471 -4.243 0.108
-1.319 -0.569 1.568
0.642 -4.897 -1.236
3.257 -3.647 1.417
3.212 -3.581 -1.479
-1.402 -4.272 -2.728
4.101 -1.642 2.854
-0.513 -2.333 1.605
-0.558 -2.267 -1.292
2.057 -1.017 1.361
```

Output
- calculated volume (Å³/atom) = 15.18
- raw total energy (eV per atom) = -6.171

***

Record 12
AcMgF6 | PBE | optimized geometry

The structure in POSCAR format:
```
AcMgF6
1.0
4.662 -0.118 0.362
-0.482 4.736 0.892
0.149 -0.326 4.829
Ac Mg F
1 1 6
Cartesian
2.165 2.145 3.042
0.000 0.000 0.000
1.276 1.314 0.749
1.066 4.095 4.357
3.264 0.196 1.726
3.054 2.976 5.334
-0.013 3.226 2.083
4.343 1.065 4.000
```

Output
- calculated volume (Å³/atom) = 13.44
- raw total energy (eV per atom) = -5.452

***

Record 13
Ac2MgF8 | PBE | optimized geometry

The structure in POSCAR format:
```
Ac2MgF8
1.0
4.195 0.000 0.000
0.000 5.207 -0.146
-2.098 -2.381 7.087
Ac Mg F
2 1 8
Cartesian
2.098 0.155 4.874
0.000 2.671 2.066
2.098 0.000 0.000
0.000 1.458 5.474
2.098 4.019 1.488
2.098 2.673 3.797
2.098 -1.123 7.038
0.000 0.153 3.143
0.000 -1.193 5.453
2.098 1.368 1.466
0.000 3.949 -0.097
```

Output
- calculated volume (Å³/atom) = 13.94
- raw total energy (eV per atom) = -6.193

***

Record 14
AcMgF4 | PBE | optimized geometry

The structure in POSCAR format:
```
AcMgF4
1.0
-0.056 3.587 -1.954
-1.036 -2.583 -4.711
-9.032 -1.066 2.570
Ac Mg F
2 2 8
Cartesian
-7.054 0.161 -3.773
-3.223 -0.605 -1.019
-2.032 -0.103 -4.401
-8.137 -0.071 0.101
-7.842 1.779 -0.781
-2.263 -1.793 -3.227
-9.583 -1.742 -2.924
-0.938 0.688 -2.979
-3.560 0.538 -3.180
-6.206 0.293 0.714
-2.374 1.774 -0.946
-7.393 -0.947 -1.528
```

Output
- calculated volume (Å³/atom) = 17.19
- raw total energy (eV per atom) = -5.627

***

Record 15
AcMg2F6 | PBE | optimized geometry

The structure in POSCAR format:
```
AcMg2F6
1.0
5.903 0.000 0.000
0.000 4.498 -2.597
0.000 0.000 5.194
Ac Mg F
1 2 6
Cartesian
0.000 0.000 0.000
2.951 2.999 0.000
2.952 1.499 2.597
4.037 2.944 1.700
1.866 2.944 3.494
1.866 4.498 0.802
4.037 1.554 -0.897
1.866 1.554 0.897
4.037 0.000 1.794
```

Output
- calculated volume (Å³/atom) = 15.32
- raw total energy (eV per atom) = -5.526

***

Record 16
Ac2MgF | PBE | optimized geometry

The structure in POSCAR format:
```
Ac2MgF
1.0
3.929 0.000 0.000
1.965 3.403 0.000
1.965 1.134 10.242
Ac Mg F
2 1 1
Cartesian
1.965 1.134 6.749
5.894 3.403 3.493
0.000 0.000 0.000
3.929 2.268 5.121
```

Output
- calculated volume (Å³/atom) = 34.23
- raw total energy (eV per atom) = -3.757

***

Record 17
NaAcMgF6 | PBE | optimized geometry

The structure in POSCAR format:
```
NaAcMgF6
1.0
6.028 0.000 0.000
-3.014 5.220 0.000
0.000 0.000 8.701
Na Ac Mg F
2 2 2 12
Cartesian
0.000 0.000 0.000
0.000 0.000 4.350
0.000 3.480 2.175
3.014 1.740 6.526
3.014 1.740 2.175
0.000 3.480 6.526
2.193 3.246 1.110
4.728 1.698 1.110
-0.894 4.944 5.461
-1.715 3.522 7.591
1.299 1.698 3.240
3.835 3.246 3.240
0.894 4.944 7.591
3.907 0.276 3.240
-0.821 1.974 5.461
2.120 0.276 1.110
1.715 3.522 5.461
0.821 1.974 7.591
```

Output
- calculated volume (Å³/atom) = 15.21
- raw total energy (eV per atom) = -5.590

***

Record 18
AcMgTlF6 | PBE | optimized geometry

The structure in POSCAR format:
```
AcMgTlF6
1.0
-2.491 -8.031 -0.873
2.433 0.022 -7.141
4.637 2.406 5.572
Ac Mg Tl F
2 2 2 12
Cartesian
1.073 -2.813 2.350
2.319 1.203 2.786
-0.029 -4.005 -4.007
-1.245 -4.016 -0.436
2.224 -5.003 -1.250
2.355 -0.601 -1.192
1.227 -4.224 -5.572
1.561 -5.206 2.508
-0.336 -5.792 -0.363
1.572 -3.099 -3.228
0.497 -3.109 -0.072
0.740 -5.783 -3.519
3.352 -1.380 3.130
3.019 -0.398 -4.950
4.915 0.188 -2.079
3.008 -2.505 0.786
4.083 -2.495 -2.371
3.840 0.179 1.077
```

Output
- calculated volume (Å³/atom) = 18.15
- raw total energy (eV per atom) = -5.542

***

Record 19
AcMg3Tl2F12 | PBE | optimized geometry

The structure in POSCAR format:
```
AcMg3Tl2F12
1.0
-4.880 -1.167 4.729
1.099 -5.669 3.768
2.032 1.320 6.455
Ac Mg Tl F
1 3 2 12
Cartesian
0.000 0.000 0.000
-2.440 -0.584 2.364
0.550 -2.835 1.884
1.016 0.660 3.228
-1.068 -3.367 9.127
-0.682 -2.149 5.825
0.848 -0.575 7.970
-2.333 -5.234 10.005
0.549 -4.197 10.725
-3.568 -2.164 6.867
-1.944 -2.320 11.125
0.252 -5.041 6.253
-2.598 -4.941 6.982
0.583 -0.282 4.947
-2.298 -1.319 4.227
1.818 -3.352 8.085
0.194 -3.195 3.826
-2.002 -0.475 8.699
```

Output
- calculated volume (Å³/atom) = 14.64
- raw total energy (eV per atom) = -5.153

***

no.,total moment (μB per cell)
1,0.10
2,0.00
3,1.00
4,0.00
5,0.00
6,0.00
7,0.00
8,1.14
9,1.00
10,0.00
11,0.00
12,1.02
13,0.00
14,1.46
15,0.46
16,0.00
17,0.00
18,0.00
19,0.51